Record 1
! CoGe2Ir | Alexandria via LeMat-Bulk | PBE | relaxed; values from VASP
! Density of states at the Fermi level in states/eV/atom: 0.6093
! Energy relative to the elements in eV/f.u.: 1.298
! Uncorrected energy in eV per atom: -5.976
&SYSTEM
  ibrav = 0, nat = 8, ntyp = 3
/
ATOMIC_SPECIES
Co 58.93 Co.upf
Ge 72.64 Ge.upf
Ir 192.22 Ir.upf
CELL_PARAMETERS angstrom
-2.690 2.690 5.458
2.690 -2.690 5.458
2.690 2.690 -5.458
ATOMIC_POSITIONS crystal
Co 0.000 0.000 0.000
Co 0.750 0.250 0.500
Ge 0.108 0.625 0.983
Ge 0.375 0.358 0.483
Ge 0.642 0.125 0.017
Ge 0.875 0.892 0.517
Ir 0.250 0.750 0.500
Ir 0.500 0.500 0.000

=====

Record 2
! Pm2PI3 | Alexandria via LeMat-Bulk | PBE | relaxed; values from VASP
! Uncorrected energy in eV per atom: -4.623
! Formation energy from raw total energies in kJ/mol of atoms: -131.4
&SYSTEM
  ibrav = 0, nat = 12, ntyp = 3
/
ATOMIC_SPECIES
Pm 145.00 Pm.upf
P 30.97 P.upf
I 126.90 I.upf
CELL_PARAMETERS angstrom
9.192 -2.289 0.000
9.192 2.289 0.000
-6.471 0.000 10.899
ATOMIC_POSITIONS crystal
Pm 0.092 0.092 0.450
Pm 0.358 0.358 0.198
Pm 0.642 0.642 0.802
Pm 0.908 0.908 0.550
P 0.081 0.081 0.660
P 0.919 0.919 0.340
I 0.158 0.158 0.010
I 0.271 0.271 0.385
I 0.450 0.450 0.754
I 0.550 0.550 0.246
I 0.729 0.729 0.615
I 0.842 0.842 0.990

=====

Record 3
! Cs2Tl2Te | Alexandria via LeMat-Bulk | PBE | relaxed; values from VASP
! Density of states at the Fermi level in states/eV/atom: 0.7555
! E above lowest polymorph in meV per atom: 0
! Uncorrected energy in eV per atom: -2.311
! Formation energy from raw total energies in kJ/mol of atoms: -38.1
&SYSTEM
  ibrav = 0, nat = 5, ntyp = 3
/
ATOMIC_SPECIES
Cs 132.91 Cs.upf
Tl 204.38 Tl.upf
Te 127.60 Te.upf
CELL_PARAMETERS angstrom
-2.265 2.265 12.426
2.265 -2.265 12.426
2.265 2.265 -12.426
ATOMIC_POSITIONS crystal
Cs 0.083 0.083 0.000
Cs 0.917 0.917 0.000
Tl 0.250 0.750 0.500
Tl 0.750 0.250 0.500
Te 0.500 0.500 0.000

=====

Record 4
! La6CeHo2 | Alexandria via LeMat-Bulk | PBE | relaxed; values from VASP
! Density of states at the Fermi level in states/eV/atom: 2.0378
! Energy relative to the elements in eV/f.u.: 0.679
! Uncorrected energy in eV per atom: -4.886
&SYSTEM
  ibrav = 0, nat = 9, ntyp = 3
/
ATOMIC_SPECIES
La 138.91 La.upf
Ce 140.12 Ce.upf
Ho 164.93 Ho.upf
CELL_PARAMETERS angstrom
3.645 0.000 0.000
-1.823 3.157 0.000
0.000 0.000 27.509
ATOMIC_POSITIONS crystal
La 0.000 0.000 0.067
La 0.000 0.000 0.278
La 0.000 0.000 0.722
La 0.000 0.000 0.933
La 0.333 0.667 0.396
La 0.333 0.667 0.604
Ce 0.000 0.000 0.500
Ho 0.333 0.667 0.171
Ho 0.333 0.667 0.829

=====

Record 5
! AlRuPb2 | Alexandria via LeMat-Bulk | PBE | relaxed; values from VASP
! Density of states at the Fermi level in states/eV/atom: 0.5487
! Energy relative to the elements in eV/f.u.: 0.127
! Uncorrected energy in eV per atom: -5.077
&SYSTEM
  ibrav = 0, nat = 4, ntyp = 3
/
ATOMIC_SPECIES
Al 26.98 Al.upf
Ru 101.07 Ru.upf
Pb 207.20 Pb.upf
CELL_PARAMETERS angstrom
-1.599 1.994 7.322
1.599 -1.994 7.322
1.599 1.994 -7.322
ATOMIC_POSITIONS crystal
Al 0.000 0.000 0.000
Ru 0.500 0.500 0.000
Pb 0.334 0.834 0.500
Pb 0.666 0.166 0.500

=====

Record 6
! Li8AsPd6 | Alexandria via LeMat-Bulk | PBE | relaxed; values from VASP
! Density of states at the Fermi level in states/eV/atom: 0.3543
! Energy relative to the elements in eV/f.u.: -4.632
! Uncorrected energy in eV per atom: -3.717
&SYSTEM
  ibrav = 0, nat = 15, ntyp = 3
/
ATOMIC_SPECIES
Li 6.94 Li.upf
As 74.92 As.upf
Pd 106.42 Pd.upf
CELL_PARAMETERS angstrom
3.747 2.163 5.165
-3.747 2.163 5.165
0.000 -4.326 5.165
ATOMIC_POSITIONS crystal
Li 0.054 0.373 0.708
Li 0.161 0.161 0.161
Li 0.292 0.946 0.627
Li 0.373 0.708 0.054
Li 0.627 0.292 0.946
Li 0.708 0.054 0.373
Li 0.839 0.839 0.839
Li 0.946 0.627 0.292
As 0.500 0.500 0.500
Pd 0.124 0.787 0.463
Pd 0.213 0.537 0.876
Pd 0.463 0.124 0.787
Pd 0.537 0.876 0.213
Pd 0.787 0.463 0.124
Pd 0.876 0.213 0.537

=====

Record 7
! KLiIn2Cl8 | Alexandria via LeMat-Bulk | PBE | relaxed; values from VASP
! Density of states at the Fermi level in states/eV/atom: 0.0000
! Uncorrected energy in eV per atom: -3.241
! Formation energy from raw total energies in kJ/mol of atoms: -125.6
&SYSTEM
  ibrav = 0, nat = 12, ntyp = 4
/
ATOMIC_SPECIES
K 39.10 K.upf
Li 6.94 Li.upf
In 114.82 In.upf
Cl 35.45 Cl.upf
CELL_PARAMETERS angstrom
-5.012 5.012 4.071
5.012 -5.012 4.071
5.012 5.012 -4.071
ATOMIC_POSITIONS crystal
K 0.000 0.000 0.000
Li 0.750 0.250 0.500
In 0.250 0.750 0.500
In 0.500 0.500 0.000
Cl 0.050 0.375 0.324
Cl 0.050 0.726 0.676
Cl 0.133 0.324 0.809
Cl 0.274 0.950 0.324
Cl 0.515 0.324 0.191
Cl 0.625 0.950 0.676
Cl 0.676 0.485 0.809
Cl 0.676 0.867 0.191

=====

Record 8
! NbNi14Ge | Alexandria via LeMat-Bulk | PBE | relaxed; values from VASP
! Density of states at the Fermi level in states/eV/atom: 1.6884
! Energy relative to the elements in eV/f.u.: -1.625
! Uncorrected energy in eV per atom: -6.078
&SYSTEM
  ibrav = 0, nat = 16, ntyp = 3
/
ATOMIC_SPECIES
Nb 92.91 Nb.upf
Ni 58.69 Ni.upf
Ge 72.64 Ge.upf
CELL_PARAMETERS angstrom
5.083 0.000 0.000
0.000 5.083 0.000
0.000 0.000 7.077
ATOMIC_POSITIONS crystal
Nb 0.000 0.000 0.000
Ni 0.000 0.000 0.500
Ni 0.000 0.500 0.000
Ni 0.000 0.500 0.500
Ni 0.252 0.252 0.256
Ni 0.252 0.252 0.744
Ni 0.252 0.748 0.256
Ni 0.252 0.748 0.744
Ni 0.500 0.000 0.000
Ni 0.500 0.000 0.500
Ni 0.500 0.500 0.500
Ni 0.748 0.252 0.256
Ni 0.748 0.252 0.744
Ni 0.748 0.748 0.256
Ni 0.748 0.748 0.744
Ge 0.500 0.500 0.000

=====

Record 9
! Zn2CdTe | Alexandria via LeMat-Bulk | PBE | relaxed; values from VASP
! Density of states at the Fermi level in states/eV/atom: 0.3498
! E above lowest polymorph in meV per atom: 84
! Uncorrected energy in eV per atom: -1.553
! Formation energy from raw total energies in kJ/mol of atoms: 9.4
&SYSTEM
  ibrav = 0, nat = 4, ntyp = 3
/
ATOMIC_SPECIES
Zn 65.41 Zn.upf
Cd 112.41 Cd.upf
Te 127.60 Te.upf
CELL_PARAMETERS angstrom
-1.973 1.973 6.200
1.973 -1.973 6.200
1.973 1.973 -6.200
ATOMIC_POSITIONS crystal
Zn 0.000 0.000 0.000
Zn 0.750 0.250 0.500
Cd 0.250 0.750 0.500
Te 0.500 0.500 0.000

=====

Record 10
! La2BeVSb | Alexandria via LeMat-Bulk | PBE | relaxed; values from VASP
! Density of states at the Fermi level in states/eV/atom: 1.8497
! Uncorrected energy in eV per atom: -4.839
! Formation energy from raw total energies in kJ/mol of atoms: 50.7
&SYSTEM
  ibrav = 0, nat = 5, ntyp = 4
/
ATOMIC_SPECIES
La 138.91 La.upf
Be 9.01 Be.upf
V 50.94 V.upf
Sb 121.76 Sb.upf
CELL_PARAMETERS angstrom
5.353 0.000 0.000
0.000 5.353 0.000
0.000 0.000 4.498
ATOMIC_POSITIONS crystal
La 0.000 0.500 0.000
La 0.500 0.000 0.000
Be 0.000 0.000 0.000
V 0.500 0.500 0.500
Sb 0.000 0.000 0.500

=====

Record 11
! YSc2S2 | Alexandria via LeMat-Bulk | PBE | relaxed; values from VASP
! Density of states at the Fermi level in states/eV/atom: 1.0782
! Uncorrected energy in eV per atom: -6.993
! Formation energy from raw total energies in kJ/mol of atoms: -146.4
&SYSTEM
  ibrav = 0, nat = 5, ntyp = 3
/
ATOMIC_SPECIES
Y 88.91 Y.upf
Sc 44.96 Sc.upf
S 32.06 S.upf
CELL_PARAMETERS angstrom
1.847 1.066 8.973
-1.847 1.066 8.973
0.000 -2.133 8.973
ATOMIC_POSITIONS crystal
Y 0.000 0.000 0.000
Sc 0.214 0.214 0.214
Sc 0.786 0.786 0.786
S 0.397 0.397 0.397
S 0.603 0.603 0.603

=====

Record 12
! NaGeBi | Alexandria via LeMat-Bulk | PBE | relaxed; values from VASP
! Density of states at the Fermi level in states/eV/atom: 0.1714
! E above lowest polymorph in meV per atom: 13
! Energy relative to the elements in eV/f.u.: -0.269
! Uncorrected energy in eV per atom: -3.362
&SYSTEM
  ibrav = 0, nat = 6, ntyp = 3
/
ATOMIC_SPECIES
Na 22.99 Na.upf
Ge 72.64 Ge.upf
Bi 208.98 Bi.upf
CELL_PARAMETERS angstrom
4.452 0.000 0.000
2.200 6.030 0.000
2.210 -0.318 6.366
ATOMIC_POSITIONS crystal
Na 0.000 0.000 0.000
Na 0.134 0.421 0.309
Ge 0.385 0.868 0.358
Ge 0.395 0.570 0.639
Bi 0.665 0.089 0.582
Bi 0.758 0.561 0.924